Record 1
KNbSn3: optimized geometry, GGA-PBE.

Unit cell a=5.4474 b=5.4474 c=5.4474 alpha=90.00 beta=90.00 gamma=90.00
Closest atoms and distances in Å follow each position.
Space group Pm-3m (No. 221)
One atom of each set of equivalent atoms:
K 0.0000 0.0000 0.0000 (multiplicity 1)  12 Sn 3.85
Nb 0.5000 0.5000 0.5000 (multiplicity 1)  6 Sn 2.72
Sn 0.0000 0.5000 0.5000 (multiplicity 3)  2 Nb 2.72

Summary:
Size of the total moment, μB/f.u.: 0.00
Energy above the most stable polymorph in this dataset, meV per atom: 0.0
V, Å³ per cell: 162
DFT formation energy, eV/f.u.: -0.087

---

Record 2
La4Tb2SmSc: optimized geometry, GGA-PBE.

Unit cell a=5.9385 b=5.9288 c=7.7451 alpha=90.00 beta=90.01 gamma=90.00
Closest atoms and distances in Å follow each position.
Space group P2/m (No. 10)
One atom of each set of equivalent atoms:
La 0.9999 0.0000 0.2356 (multiplicity 2)  2 Sc 3.48, 4 Tb 3.48-3.60, 2 Sm 3.61, 1 La 3.65
La 0.4983 0.5000 0.7627 (multiplicity 2)  2 Sc 3.48-3.50, 4 Tb 3.49-3.61, 2 Sm 3.60, 1 La 3.68
Tb 0.0000 0.5000 0.5000 (multiplicity 1)  8 La 3.59-3.61, 2 Sc 3.87
Tb 0.5000 0.0000 0.0000 (multiplicity 1)  8 La 3.48-3.49, 2 Sm 3.87
Sm 0.5000 0.0000 0.5000 (multiplicity 1)  8 La 3.60-3.61, 2 Tb 3.87
Sc 0.0000 0.5000 0.0000 (multiplicity 1)  8 La 3.48-3.50, 2 Tb 3.87

Summary:
Size of the total moment, μB/f.u.: 0.00
V, Å³ per cell: 273
DFT formation energy, eV/f.u.: 0.224

---

Record 3
TcNi2: optimized geometry, GGA-PBE.

Unit cell a=2.5695 b=3.7033 c=7.5835 alpha=90.00 beta=90.00 gamma=90.00
Closest atoms and distances in Å follow each position.
Space group Immm (No. 71)
One atom of each set of equivalent atoms:
Tc 0.0000 0.0000 0.0000 (multiplicity 2)  10 Ni 2.53-2.58, 2 Tc 2.57
Ni 0.0000 0.0000 0.3338 (multiplicity 4)  7 Ni 2.52-2.59, 5 Tc 2.53-2.58

Summary:
Size of the total moment, μB/f.u.: 0.00
Energy above the most stable polymorph in this dataset, meV per atom: 26.6
V, Å³ per cell: 72
DFT formation energy, eV/f.u.: -0.033

---

Record 4
CeLuPuTl: optimized geometry, GGA-PBE.

Unit cell a=7.5289 b=7.5289 c=7.5289 alpha=90.00 beta=90.00 gamma=90.00
Closest atoms and distances in Å follow each position.
Space group F-43m (No. 216)
One atom of each set of equivalent atoms:
Ce 0.0000 0.0000 0.0000 (multiplicity 4)  4 Pu 3.26, 4 Lu 3.26
Lu 0.2500 0.2500 0.7500 (multiplicity 4)  4 Tl 3.26, 4 Ce 3.26
Pu 0.2500 0.2500 0.2500 (multiplicity 4)  4 Tl 3.26, 4 Ce 3.26
Tl 0.0000 0.0000 0.5000 (multiplicity 4)  4 Pu 3.26, 4 Lu 3.26

Summary:
Size of the total moment, μB/f.u.: 8.36
V, Å³ per cell: 427
DFT formation energy, eV/f.u.: 0.219

---

Record 5
BaRu3: optimized geometry, GGA-PBE.

Unit cell a=4.9869 b=4.9869 c=3.0285 alpha=90.00 beta=90.00 gamma=90.00
Closest atoms and distances in Å follow each position.
Space group P4/mmm (No. 123)
One atom of each set of equivalent atoms:
Ba 0.0000 0.0000 0.0000 (multiplicity 1)  8 Ru 2.92, 2 Ba 3.03
Ru 0.0000 0.5000 0.5000 (multiplicity 2)  4 Ba 2.92, 6 Ru 2.92-3.03
Ru 0.5000 0.5000 0.0000 (multiplicity 1)  10 Ru 2.92-3.03

Summary:
Size of the total moment, μB/f.u.: 2.78
V, Å³ per cell: 75
DFT formation energy, eV/f.u.: 4.959

---

Record 6
CuPb2W: optimized geometry, GGA-PBE.

Unit cell a=7.0842 b=7.0842 c=7.0842 alpha=90.00 beta=90.00 gamma=90.00
Closest atoms and distances in Å follow each position.
Space group F-43m (No. 216)
One atom of each set of equivalent atoms:
Cu 0.0000 0.0000 0.0000 (multiplicity 4)  4 W 3.07, 4 Pb 3.07
Pb 0.0000 0.0000 0.5000 (multiplicity 4)  4 Pb 3.07, 4 W 3.07
Pb 0.2500 0.2500 0.7500 (multiplicity 4)  4 Pb 3.07, 4 Cu 3.07
W 0.2500 0.2500 0.2500 (multiplicity 4)  4 Pb 3.07, 4 Cu 3.07

Summary:
Size of the total moment, μB/f.u.: 2.21
Energy above the most stable polymorph in this dataset, meV per atom: 653.6
V, Å³ per cell: 356
DFT formation energy, eV/f.u.: 4.779

---

Record 7
Pb4W: optimized geometry, GGA-PBE.

Unit cell a=4.1274 b=4.1274 c=17.9696 alpha=90.00 beta=90.00 gamma=90.00
Closest atoms and distances in Å follow each position.
Space group I4/mmm (No. 139)
One atom of each set of equivalent atoms:
Pb 0.0000 0.0000 0.0851 (multiplicity 4)  1 Pb 3.06, 4 W 3.29
Pb 0.0000 0.5000 0.2500 (multiplicity 4)  4 Pb 2.92
W 0.0000 0.0000 0.5000 (multiplicity 2)  8 Pb 3.29

Summary:
Size of the total moment, μB/f.u.: 2.33
Energy above the most stable polymorph in this dataset, meV per atom: 456.8
V, Å³ per cell: 306
DFT formation energy, eV/f.u.: 5.766

---

Record 8
Y2TlIN: optimized geometry, GGA-PBE.

Unit cell a=4.6658 b=4.6658 c=6.8288 alpha=90.00 beta=90.00 gamma=90.00
Closest atoms and distances in Å follow each position.
Space group P4/mmm (No. 123)
One atom of each set of equivalent atoms:
Y 0.0000 0.5000 0.0000 (multiplicity 2)  2 N 2.33
Tl 0.0000 0.0000 0.5000 (multiplicity 1)  4 I 3.30
I 0.5000 0.5000 0.5000 (multiplicity 1)  4 Tl 3.30, 2 N 3.41
N 0.5000 0.5000 0.0000 (multiplicity 1)  4 Y 2.33

Summary:
Size of the total moment, μB/f.u.: 0.00
V, Å³ per cell: 149
Total DFT energy (no corrections), eV per cell: -27.2